Record 1
A relaxed structure of KYSCl2, computed with PBE.

a = 5.146 Å, b = 5.146 Å, c = 5.671 Å
α = 90.00°, β = 90.00°, γ = 90.00°
Element x y z (fractional)
K (0.000, 0.000, 0.000)
Y (0.500, 0.500, 0.500)
S (0.000, 0.000, 0.500)
Cl (0.000, 0.500, 0.000)
Cl (0.500, 0.000, 0.000)

Results
E in eV per atom: -3.673
V in Å³/atom: 30.03
N(E_F) in states/eV/atom: 0.137
Uncorrected formation energy in eV/atom: -0.60
Energy above the lowest structure with this stoichiometry in meV/atom: 1357.5


Record 2
A relaxed structure of KYSCl2, computed with PBE.

a = 5.381 Å, b = 5.381 Å, c = 5.246 Å
α = 90.00°, β = 90.00°, γ = 90.00°
Element x y z (fractional)
K (0.000, 0.000, 0.000)
Y (0.500, 0.500, 0.500)
S (0.500, 0.500, 0.000)
Cl (0.000, 0.500, 0.500)
Cl (0.500, 0.000, 0.500)

Results
E in eV per atom: -5.031
V in Å³/atom: 30.38
N(E_F) in states/eV/atom: 0.000
Uncorrected formation energy in eV/atom: -1.95
Energy above the lowest structure with this stoichiometry in meV/atom: 0.0


Record 3
A relaxed structure of KYS2Cl, computed with PBE.

a = 5.291 Å, b = 5.291 Å, c = 5.447 Å
α = 90.00°, β = 90.00°, γ = 90.00°
Element x y z (fractional)
K (0.000, 0.000, 0.000)
Y (0.500, 0.500, 0.500)
S (0.000, 0.500, 0.500)
S (0.500, 0.000, 0.500)
Cl (0.500, 0.500, 0.000)

Results
E in eV per atom: -5.037
V in Å³/atom: 30.50
N(E_F) in states/eV/atom: 0.444
Uncorrected formation energy in eV/atom: -1.50
Energy above the lowest structure with this stoichiometry in meV/atom: 0.0


Record 4
A relaxed structure of KYS2Cl, computed with PBE.

a = 5.272 Å, b = 5.272 Å, c = 5.111 Å
α = 90.00°, β = 90.00°, γ = 90.00°
Element x y z (fractional)
K (0.000, 0.000, 0.000)
Y (0.500, 0.500, 0.500)
S (0.000, 0.500, 0.000)
S (0.500, 0.000, 0.000)
Cl (0.000, 0.000, 0.500)

Results
E in eV per atom: -3.699
V in Å³/atom: 28.41
N(E_F) in states/eV/atom: 0.378
Uncorrected formation energy in eV/atom: -0.17
Energy above the lowest structure with this stoichiometry in meV/atom: 1338.7


Q: Among the records above, which one has the highest uncorrected formation energy?
A: number 4